No. 1
! CdHgOs2 (PBE, optimized geometry); values from VASP
! ΔE_f	4.110	eV per formula unit
! energy above the most stable polymorph in this dataset	0.686	eV per atom
&SYSTEM
  ibrav = 0, nat = 8, ntyp = 3
/
ATOMIC_SPECIES
Cd 112.41 Cd.upf
Hg 200.59 Hg.upf
Os 190.23 Os.upf
CELL_PARAMETERS angstrom
3.935 0.000 0.000
0.000 3.935 0.000
0.000 0.000 8.936
ATOMIC_POSITIONS crystal
Cd 0.000 0.000 0.000
Cd 0.500 0.500 0.500
Hg 0.000 0.000 0.500
Hg 0.500 0.500 0.000
Os 0.000 0.500 0.250
Os 0.000 0.500 0.750
Os 0.500 0.000 0.250
Os 0.500 0.000 0.750

=====

No. 2
! CdHgOs2 (PBE, optimized geometry); values from VASP
! ΔE_f	2.664	eV per formula unit
! energy above the most stable polymorph in this dataset	0.325	eV per atom
&SYSTEM
  ibrav = 0, nat = 8, ntyp = 3
/
ATOMIC_SPECIES
Cd 112.41 Cd.upf
Hg 200.59 Hg.upf
Os 190.23 Os.upf
CELL_PARAMETERS angstrom
2.855 0.000 0.000
0.000 4.949 0.000
0.000 0.000 10.139
ATOMIC_POSITIONS crystal
Cd 0.000 0.000 0.000
Cd 0.500 0.500 0.000
Hg 0.000 0.500 0.717
Hg 0.500 0.000 0.717
Os 0.000 0.000 0.459
Os 0.000 0.500 0.251
Os 0.500 0.000 0.251
Os 0.500 0.500 0.459

=====

No. 3
! CdHgOs (PBE, optimized geometry); values from VASP
! ΔE_f	2.360	eV per formula unit
! energy above the most stable polymorph in this dataset	0.095	eV per atom
&SYSTEM
  ibrav = 0, nat = 6, ntyp = 3
/
ATOMIC_SPECIES
Cd 112.41 Cd.upf
Hg 200.59 Hg.upf
Os 190.23 Os.upf
CELL_PARAMETERS angstrom
2.794 0.000 0.000
0.000 4.320 0.000
0.000 0.000 9.192
ATOMIC_POSITIONS crystal
Cd 0.000 0.000 0.000
Cd 0.500 0.500 0.500
Hg 0.000 0.000 0.679
Hg 0.500 0.500 0.179
Os 0.000 0.000 0.343
Os 0.500 0.500 0.843